Computed, not measured: a relaxed structure of Ba4Cr at the GGA-PBE level of DFT.

```
5
Lattice="-4.131 4.131 4.131 4.131 -4.131 4.131 4.131 4.131 -4.131" Properties=species:S:1:pos:R:3 pbc="T T T"
Ba 2.066 2.066 -2.066
Ba 2.066 -2.066 2.066
Ba -2.066 2.066 2.066
Ba 2.066 2.066 2.066
Cr 0.000 0.000 0.000
```

Values from the calculation:
Energy = -2.948 eV per atom
Energy of formation from the pure elements = 0.515 eV/atom
Total magnetic moment = 1.05 μB per atom
Crystal system = cubic
SG = Im-3m (229)
E above lowest polymorph = 9.0 kJ/mol of atoms